[1]
ZnGaI4: optimized geometry, PBE.

Cell: 7.6199 7.6199 7.6199 Å, 129.50 129.50 74.21°
Sites, in units of the cell vectors:
Zn  0.0000  0.0000  0.0000
Ga  0.7500  0.2500  0.5000
I  0.1272  0.1029  0.4756
I  0.3485  0.8728  0.9758
I  0.6273  0.6515  0.5244
I  0.8971  0.3727  0.0242

Properties
For the uncorrected formation energy, the calculation gives -412 meV/atom. The final energy is -12.97 eV/f.u.


[2]
ZnGa3I: optimized geometry, PBE.

Cell: 6.0007 6.0007 6.0007 Å, 90.00 90.00 90.00°
Sites, in units of the cell vectors:
Zn  0.0000  0.0000  0.0000
Ga  0.0000  0.5000  0.5000
Ga  0.5000  0.0000  0.5000
Ga  0.5000  0.5000  0.0000
I  0.5000  0.5000  0.5000

Properties
As for the relative energy among the computed polymorphs: 0.605 eV/atom. For the uncorrected formation energy, the calculation gives 693 meV/atom. The final energy is -8.44 eV/f.u.


[3]
ZnGaI6: optimized geometry, PBE.

Cell: 7.7063 7.7063 7.4444 Å, 101.39 101.39 124.11°
Sites, in units of the cell vectors:
Zn  0.0000  0.0000  0.0000
Ga  0.5000  0.5000  0.5000
I  0.1255  0.4090  0.2310
I  0.2189  0.2189  0.6900
I  0.4090  0.1255  0.2310
I  0.5910  0.8745  0.7690
I  0.7811  0.7811  0.3100
I  0.8745  0.5910  0.7690

Properties
For the uncorrected formation energy, the calculation gives -249 meV/atom. The final energy is -15.59 eV/f.u.


[4]
ZnGaI2: optimized geometry, PBE.

Cell: 9.3797 9.3797 9.3797 Å, 138.98 138.98 59.41°
Sites, in units of the cell vectors:
Zn  0.0000  0.0000  0.0000
Zn  0.7500  0.2500  0.5000
Ga  0.2500  0.7500  0.5000
Ga  0.5000  0.5000  0.0000
I  0.0746  0.6250  0.9496
I  0.3750  0.3246  0.4496
I  0.6754  0.1250  0.0504
I  0.8750  0.9254  0.5504

Properties
As for the relative energy among the computed polymorphs: 0.000 eV/atom. For the uncorrected formation energy, the calculation gives -83 meV/atom. The final energy is -7.73 eV/f.u.


[5]
ZnGa2I6: optimized geometry, PBE.

Cell: 11.3227 11.3227 7.0807 Å, 95.38 95.38 90.36°
Sites, in units of the cell vectors:
Zn  0.0009  0.9991  0.7500
Zn  0.9991  0.0009  0.2500
Ga  0.3424  0.5015  0.7310
Ga  0.4985  0.6576  0.7690
Ga  0.5015  0.3424  0.2310
Ga  0.6576  0.4985  0.2690
I  0.0006  0.1771  0.5284
I  0.1387  0.5417  0.8413
I  0.1771  0.0006  0.0284
I  0.2943  0.4263  0.3549
I  0.4263  0.2943  0.8549
I  0.4583  0.8613  0.6587
I  0.5417  0.1387  0.3413
I  0.5737  0.7057  0.1451
I  0.7057  0.5737  0.6451
I  0.8229  0.9994  0.9716
I  0.8613  0.4583  0.1587
I  0.9994  0.8229  0.4716

Properties
For the uncorrected formation energy, the calculation gives -498 meV/atom. The final energy is -21.11 eV/f.u.


[6]
ZnGaI2: optimized geometry, PBE.

Cell: 5.5363 5.5363 5.5363 Å, 60.00 60.00 60.00°
Sites, in units of the cell vectors:
Zn  0.0000  0.0000  0.0000
Ga  0.5000  0.5000  0.5000
I  0.2500  0.2500  0.2500
I  0.7500  0.7500  0.7500

Properties
As for the relative energy among the computed polymorphs: 0.088 eV/atom. For the uncorrected formation energy, the calculation gives 6 meV/atom. The final energy is -7.38 eV/f.u.


[7]
ZnGaI3: optimized geometry, PBE.

Cell: 5.6477 5.6477 5.6477 Å, 90.00 90.00 90.00°
Sites, in units of the cell vectors:
Zn  0.0000  0.0000  0.0000
Ga  0.5000  0.5000  0.5000
I  0.0000  0.0000  0.5000
I  0.0000  0.5000  0.0000
I  0.5000  0.0000  0.0000

Properties
As for the relative energy among the computed polymorphs: 0.240 eV/atom. For the uncorrected formation energy, the calculation gives -226 meV/atom. The final energy is -10.08 eV/f.u.


[8]
ZnGa2I8: optimized geometry, PBE.

Cell: 8.6694 8.6694 6.9711 Å, 93.05 93.05 83.24°
Sites, in units of the cell vectors:
Zn  0.0000  0.0000  0.0000
Ga  0.2040  0.2040  0.6487
Ga  0.7960  0.7960  0.3513
I  0.0747  0.7312  0.2132
I  0.1988  0.1988  0.2778
I  0.2688  0.9253  0.7868
I  0.3921  0.3921  0.7774
I  0.6079  0.6079  0.2226
I  0.7312  0.0747  0.2132
I  0.8012  0.8012  0.7222
I  0.9253  0.2688  0.7868

Properties
For the uncorrected formation energy, the calculation gives -471 meV/atom. The final energy is -24.91 eV/f.u.


[9]
Zn2GaI: optimized geometry, PBE.

Cell: 5.2457 5.2457 5.2457 Å, 60.00 60.00 60.00°
Sites, in units of the cell vectors:
Zn  0.2500  0.2500  0.2500
Zn  0.7500  0.7500  0.7500
Ga  0.0000  0.0000  0.0000
I  0.5000  0.5000  0.5000

Properties
As for the relative energy among the computed polymorphs: 0.256 eV/atom. For the uncorrected formation energy, the calculation gives 354 meV/atom. The final energy is -5.71 eV/f.u.


[10]
ZnGaI: optimized geometry, PBE.

Cell: 11.9452 3.9574 3.9574 Å, 59.99 90.00 90.00°
Sites, in units of the cell vectors:
Zn  0.1334  0.0000  0.0000
Zn  0.8666  0.0000  0.0000
Ga  0.0000  0.3326  0.3326
Ga  0.5000  0.3355  0.3355
I  0.3065  0.6689  0.6689
I  0.6935  0.6689  0.6689

Properties
For the uncorrected formation energy, the calculation gives -13 meV/atom. The final energy is -5.89 eV/f.u.


[11]
Zn3GaI9: optimized geometry, PBE.

Cell: 11.6530 11.6530 14.6259 Å, 126.27 126.27 50.17°
Sites, in units of the cell vectors:
Zn  0.0584  0.9416  0.5000
Zn  0.1346  0.3348  0.5738
Zn  0.3348  0.1346  0.0738
Zn  0.5297  0.7614  0.8204
Zn  0.7614  0.5297  0.3204
Zn  0.9416  0.0584  0.0000
Ga  0.0483  0.5624  0.9055
Ga  0.5624  0.0483  0.4055
I  0.0667  0.7014  0.3139
I  0.0723  0.8187  0.0849
I  0.0773  0.3819  0.9789
I  0.1936  0.9550  0.9522
I  0.2739  0.4061  0.8181
I  0.3021  0.9653  0.6996
I  0.3819  0.0773  0.4789
I  0.4061  0.2739  0.3181
I  0.5280  0.5327  0.7981
I  0.5327  0.5280  0.2981
I  0.5988  0.9829  0.0370
I  0.6220  0.7734  0.2353
I  0.7014  0.0667  0.8139
I  0.7734  0.6220  0.7353
I  0.8187  0.0723  0.5849
I  0.9550  0.1936  0.4522
I  0.9653  0.3021  0.1996
I  0.9829  0.5988  0.5370

Properties
For the uncorrected formation energy, the calculation gives -480 meV/atom. The final energy is -27.04 eV/f.u.


[12]
Zn2Ga2I7: optimized geometry, PBE.

Cell: 8.2818 8.2818 7.1017 Å, 96.24 96.24 102.82°
Sites, in units of the cell vectors:
Zn  0.2405  0.2405  0.4068
Zn  0.7595  0.7595  0.5932
Ga  0.3115  0.6885  0.0000
Ga  0.6885  0.3115  0.0000
I  0.0000  0.0000  0.5000
I  0.0829  0.4288  0.2226
I  0.3927  0.3927  0.7509
I  0.4288  0.0829  0.2226
I  0.5712  0.9171  0.7774
I  0.6073  0.6073  0.2491
I  0.9171  0.5712  0.7774

Properties
For the uncorrected formation energy, the calculation gives -370 meV/atom. The final energy is -23.53 eV/f.u.


[13]
Zn2GaI: optimized geometry, PBE.

Cell: 7.3022 7.3022 7.3022 Å, 126.28 126.28 79.42°
Sites, in units of the cell vectors:
Zn  0.0719  0.6250  0.9469
Zn  0.3750  0.3219  0.4469
Zn  0.6781  0.1250  0.0531
Zn  0.8750  0.9281  0.5531
Ga  0.0000  0.0000  0.0000
Ga  0.7500  0.2500  0.5000
I  0.2500  0.7500  0.5000
I  0.5000  0.5000  0.0000

Properties
As for the relative energy among the computed polymorphs: 0.000 eV/atom. For the uncorrected formation energy, the calculation gives 98 meV/atom. The final energy is -6.73 eV/f.u.


[14]
Zn3GaI: optimized geometry, PBE.

Cell: 5.6244 5.6244 5.6244 Å, 90.00 90.00 90.00°
Sites, in units of the cell vectors:
Zn  0.0000  0.0000  0.5000
Zn  0.0000  0.5000  0.0000
Zn  0.5000  0.0000  0.0000
Ga  0.5000  0.5000  0.5000
I  0.0000  0.0000  0.0000

Properties
As for the relative energy among the computed polymorphs: 0.759 eV/atom. For the uncorrected formation energy, the calculation gives 857 meV/atom. The final energy is -4.12 eV/f.u.


[15]
Zn2GaI6: optimized geometry, PBE.

Cell: 10.9928 10.9928 7.2750 Å, 104.86 104.86 91.01°
Sites, in units of the cell vectors:
Zn  0.1395  0.2920  0.3497
Zn  0.2920  0.1395  0.8497
Zn  0.7080  0.8605  0.1503
Zn  0.8605  0.7080  0.6503
Ga  0.2965  0.7035  0.7500
Ga  0.7035  0.2965  0.2500
I  0.0819  0.6814  0.8851
I  0.0981  0.2468  0.6687
I  0.2468  0.0981  0.1687
I  0.2803  0.5024  0.4045
I  0.3186  0.9181  0.6149
I  0.4976  0.7197  0.0955
I  0.5024  0.2803  0.9045
I  0.6814  0.0819  0.3851
I  0.7197  0.4976  0.5955
I  0.7532  0.9019  0.8313
I  0.9019  0.7532  0.3313
I  0.9181  0.3186  0.1149

Properties
For the uncorrected formation energy, the calculation gives -467 meV/atom. The final energy is -19.08 eV/f.u.


[16]
Zn5Ga3I12: optimized geometry, PBE.

Cell: 15.6485 15.6485 15.6485 Å, 109.47 109.47 109.47°
Sites, in units of the cell vectors:
Zn  0.0000  0.0000  0.0000
Zn  0.0000  0.0000  0.5000
Zn  0.0000  0.5000  0.0000
Zn  0.0000  0.5000  0.5000
Zn  0.1250  0.7500  0.8750
Zn  0.1250  0.8750  0.2500
Zn  0.2500  0.1250  0.8750
Zn  0.2500  0.6250  0.3750
Zn  0.3750  0.2500  0.6250
Zn  0.3750  0.6250  0.7500
Zn  0.5000  0.0000  0.0000
Zn  0.5000  0.0000  0.5000
Zn  0.5000  0.5000  0.0000
Zn  0.5000  0.5000  0.5000
Zn  0.6250  0.3750  0.2500
Zn  0.6250  0.7500  0.3750
Zn  0.7500  0.3750  0.6250
Zn  0.7500  0.8750  0.1250
Zn  0.8750  0.1250  0.7500
Zn  0.8750  0.2500  0.1250
Ga  0.1250  0.2500  0.3750
Ga  0.1250  0.3750  0.7500
Ga  0.2500  0.3750  0.1250
Ga  0.2500  0.8750  0.6250
Ga  0.3750  0.1250  0.2500
Ga  0.3750  0.7500  0.1250
Ga  0.6250  0.2500  0.8750
Ga  0.6250  0.8750  0.7500
Ga  0.7500  0.1250  0.3750
Ga  0.7500  0.6250  0.8750
Ga  0.8750  0.6250  0.2500
Ga  0.8750  0.7500  0.6250
I  0.0242  0.2062  0.1188
I  0.0242  0.3181  0.9054
I  0.0873  0.7062  0.6819
I  0.0873  0.8812  0.4054
I  0.0946  0.6188  0.4127
I  0.0946  0.9758  0.6819
I  0.1188  0.0242  0.2062
I  0.1188  0.5946  0.9127
I  0.1819  0.2062  0.5873
I  0.1819  0.4758  0.5946
I  0.2062  0.1188  0.0242
I  0.2062  0.5873  0.1819
I  0.2938  0.3181  0.9127
I  0.2938  0.4758  0.3812
I  0.3181  0.9054  0.0242
I  0.3181  0.9127  0.2938
I  0.3812  0.2938  0.4758
I  0.3812  0.5873  0.9054
I  0.4054  0.0873  0.8812
I  0.4054  0.8181  0.5242
I  0.4127  0.0946  0.6188
I  0.4127  0.8181  0.7938
I  0.4758  0.3812  0.2938
I  0.4758  0.5946  0.1819
I  0.5242  0.4054  0.8181
I  0.5242  0.6188  0.7062
I  0.5873  0.1819  0.2062
I  0.5873  0.9054  0.3812
I  0.5946  0.1819  0.4758
I  0.5946  0.9127  0.1188
I  0.6188  0.4127  0.0946
I  0.6188  0.7062  0.5242
I  0.6819  0.0873  0.7062
I  0.6819  0.0946  0.9758
I  0.7062  0.5242  0.6188
I  0.7062  0.6819  0.0873
I  0.7938  0.4127  0.8181
I  0.7938  0.8812  0.9758
I  0.8181  0.5242  0.4054
I  0.8181  0.7938  0.4127
I  0.8812  0.4054  0.0873
I  0.8812  0.9758  0.7938
I  0.9054  0.0242  0.3181
I  0.9054  0.3812  0.5873
I  0.9127  0.1188  0.5946
I  0.9127  0.2938  0.3181
I  0.9758  0.6819  0.0946
I  0.9758  0.7938  0.8812

Properties
For the uncorrected formation energy, the calculation gives -376 meV/atom. The final energy is -41.57 eV/f.u.


[17]
ZrGa3I: optimized geometry, PBE.

Cell: 5.3822 5.3822 5.3822 Å, 90.00 90.00 90.00°
Sites, in units of the cell vectors:
Zr  0.0000  0.0000  0.0000
Ga  0.0000  0.5000  0.5000
Ga  0.5000  0.0000  0.5000
Ga  0.5000  0.5000  0.0000
I  0.5000  0.5000  0.5000

Properties
As for the relative energy among the computed polymorphs: 0.634 eV/atom. For the uncorrected formation energy, the calculation gives 1136 meV/atom. The final energy is -13.50 eV/f.u.


[18]
ZrGa3I: optimized geometry, PBE.

Cell: 5.4700 5.4700 5.4700 Å, 90.00 90.00 90.00°
Sites, in units of the cell vectors:
Zr  0.0000  0.0000  0.0000
Ga  0.0000  0.0000  0.5000
Ga  0.0000  0.5000  0.0000
Ga  0.5000  0.0000  0.0000
I  0.5000  0.5000  0.5000

Properties
As for the relative energy among the computed polymorphs: 0.000 eV/atom. For the uncorrected formation energy, the calculation gives 502 meV/atom. The final energy is -16.67 eV/f.u.


[19]
ZrGaI2: optimized geometry, PBE.

Cell: 5.2461 5.2461 5.2461 Å, 60.00 60.00 60.00°
Sites, in units of the cell vectors:
Zr  0.0000  0.0000  0.0000
Ga  0.5000  0.5000  0.5000
I  0.2500  0.2500  0.2500
I  0.7500  0.7500  0.7500

Properties
For the uncorrected formation energy, the calculation gives 12 meV/atom. The final energy is -14.63 eV/f.u.


[20]
Zr2GaI: optimized geometry, PBE.

Cell: 4.9602 4.9602 4.9602 Å, 60.00 60.00 60.00°
Sites, in units of the cell vectors:
Zr  0.2500  0.2500  0.2500
Zr  0.7500  0.7500  0.7500
Ga  0.0000  0.0000  0.0000
I  0.5000  0.5000  0.5000

Properties
As for the relative energy among the computed polymorphs: 0.000 eV/atom. For the uncorrected formation energy, the calculation gives -72 meV/atom. The final energy is -21.96 eV/f.u.